(1)
ZrCd2Re | GGA-PBE | relaxed

Results
formation energy from the elements: 1.4 eV per formula unit
volume: 77.68 Å³/cell
raw total energy: -5.359 eV/atom

Lattice parameters (Å, degrees): 4.7893 4.7893 4.7893 60.00 60.00 60.00
Positions (direct):
1 Zr 0.0000 0.0000 0.0000
2 Cd 0.5000 0.5000 0.5000
3 Cd 0.7500 0.7500 0.7500
4 Re 0.2500 0.2500 0.2500

(2)
Ac3ZnSi3 | GGA-PBE | relaxed

Results
volume: 187.60 Å³/cell
raw total energy: -4.827 eV/atom
formation energy without anion corrections: -54 kJ per mole of atoms

Lattice parameters (Å, degrees): 10.1188 10.1188 10.1188 156.16 153.35 36.06
Positions (direct):
1 Ac 0.0000 0.0000 0.0000
2 Ac 0.1888 0.6888 0.5000
3 Ac 0.3683 0.3683 0.0000
4 Zn 0.6204 0.1204 0.5000
5 Si 0.5510 0.5510 0.0000
6 Si 0.7488 0.2488 0.5000
7 Si 0.8205 0.8205 0.0000

(3)
TbZn10Cu2 | GGA-PBE | relaxed

Results
formation energy from the elements: -2.5 eV per formula unit
volume: 199.27 Å³/cell
raw total energy: -2.156 eV/atom

Lattice parameters (Å, degrees): 8.9495 6.8198 6.7797 82.31 49.04 48.65
Positions (direct):
1 Tb 0.0000 0.0000 0.0000
2 Zn 0.0000 0.5000 0.0000
3 Zn 0.0086 0.6488 0.3512
4 Zn 0.2835 0.5050 0.4950
5 Zn 0.3512 0.9914 0.0086
6 Zn 0.4950 0.7165 0.2835
7 Zn 0.5000 0.0000 0.5000
8 Zn 0.5050 0.2835 0.7165
9 Zn 0.6488 0.0086 0.9914
10 Zn 0.7165 0.4950 0.5050
11 Zn 0.9914 0.3512 0.6488
12 Cu 0.0000 0.0000 0.5000
13 Cu 0.5000 0.5000 0.0000

(4)
MnCd2N | GGA-PBE | relaxed

Results
volume: 151.29 Å³/cell
raw total energy: -4.500 eV/atom
formation energy without anion corrections: 32 kJ per mole of atoms

Lattice parameters (Å, degrees): 6.6686 6.6686 6.6686 94.37 94.37 147.94
Positions (direct):
1 Mn 0.0000 0.0000 0.0000
2 Mn 0.7500 0.2500 0.5000
3 Cd 0.2497 0.6250 0.1247
4 Cd 0.3750 0.4997 0.6247
5 Cd 0.5003 0.1250 0.8753
6 Cd 0.8750 0.7503 0.3753
7 N 0.2500 0.7500 0.5000
8 N 0.5000 0.5000 0.0000

(5)
MnZn2Ir | GGA-PBE | relaxed

Results
formation energy from the elements: -0.1 eV per formula unit
volume: 57.15 Å³/cell
raw total energy: -5.170 eV/atom

Lattice parameters (Å, degrees): 5.1640 5.1640 2.7834 104.27 104.27 118.50
Positions (direct):
1 Mn 0.0000 0.0000 0.0000
2 Zn 0.0000 0.5000 0.5000
3 Zn 0.5000 0.0000 0.5000
4 Ir 0.5000 0.5000 0.0000

(6)
Mg2AlCoGe | GGA-PBE | relaxed

Results
formation energy from the elements: 1.3 eV per formula unit
volume: 101.37 Å³/cell
raw total energy: -3.464 eV/atom

Lattice parameters (Å, degrees): 4.7527 4.7527 4.4878 90.00 90.00 90.00
Positions (direct):
1 Mg 0.0000 0.5000 0.0000
2 Mg 0.5000 0.0000 0.0000
3 Al 0.0000 0.0000 0.5000
4 Co 0.0000 0.0000 0.0000
5 Ge 0.5000 0.5000 0.5000

The highest volume belongs to which entry?
TbZn10Cu2

What is the formula in the first record?
ZrCd2Re

Look up the volume of the sixth one.
101.37 Å³/cell